DFT (GGA-PBE) results for an optimized crystal structure of Pm2HoSc.

As for the formation energy: 0.04 eV per atom.

It has space group P4/mmm (No. 123), with a = 5.0157 Å, b = 5.0157 Å, c = 4.8968 Å, α = 90.00°, β = 90.00° and γ = 90.00°. The asymmetric unit holds Pm at (0.0000, 0.5000, 0.0000), Ho at (0.0000, 0.0000, 0.5000) and Sc at (0.5000, 0.5000, 0.5000).



DFT (GGA-PBE) results for an optimized crystal structure of PmHo7Sc2.

As for the formation energy: 0.66 eV per atom.

It has space group Cmmm (No. 65), with a = 8.7601 Å, b = 15.0715 Å, c = 5.5627 Å, α = 90.00°, β = 90.00° and γ = 90.00°. The asymmetric unit holds Pm at (0.0000, 0.0000, 0.0000), Ho at (0.0000, 0.2408, 0.0000), Ho at (0.0000, 0.5000, 0.5000), Ho at (0.1810, 0.1214, 0.5000) and Sc at (0.0000, 0.2960, 0.5000).



Computed ΔE to the lowest computed polymorph (meV/atom) in order:
0.2; 604.5
Computed uncorrected energy (eV per cell) in order:
-20.252; -85.658
Computed calculated density (g cm⁻³) in order:
6.7; 6.3